Below is a geometry-optimized Sc3VPd structure, with properties calculated at the PBE-GGA level.

a = 4.7714 Å, b = 4.7714 Å, c = 4.7714 Å
α = 90.00°, β = 90.00°, γ = 90.00°
Closest atoms and distances in Å follow each position.
Atoms (fractional coordinates):
Sc  0.0000  0.0000  0.5000  2 V 2.39
Sc  0.0000  0.5000  0.0000  2 V 2.39
Sc  0.5000  0.0000  0.0000  2 V 2.39
V  0.0000  0.0000  0.0000  6 Sc 2.39
Pd  0.5000  0.5000  0.5000  12 Sc 3.37

raw total energy: -31.21 eV/cell
theoretical density: 4.467 g cm⁻³
E above lowest polymorph: 101 meV/atom
energy relative to the elements: 0.4186 eV per atom
SG: No. 221

Below is a geometry-optimized BeTl2CrCl structure, with properties calculated at the PBE-GGA level.

a = 5.4151 Å, b = 5.4151 Å, c = 4.2764 Å
α = 90.00°, β = 90.00°, γ = 90.00°
Closest atoms and distances in Å follow each position.
Atoms (fractional coordinates):
Be  0.0000  0.0000  0.0000  8 Tl 3.45, 4 Cl 3.83
Tl  0.0000  0.5000  0.5000  2 Cr 2.71
Tl  0.5000  0.0000  0.5000  2 Cr 2.71
Cr  0.5000  0.5000  0.5000  2 Cl 2.14
Cl  0.5000  0.5000  0.0000  2 Cr 2.14

raw total energy: -16.08 eV/cell
theoretical density: 6.690 g cm⁻³
energy relative to the elements, uncorrected: 0.770 eV/atom
SG: No. 123

Below is a geometry-optimized Pr12H5Rh3 structure, with properties calculated at the PBE-GGA level.

a = 13.6149 Å, b = 13.6149 Å, c = 13.6149 Å
α = 109.47°, β = 109.47°, γ = 109.47°
Closest atoms and distances in Å follow each position.
Atoms (fractional coordinates):
Pr  0.0289  0.2173  0.1196  1 H 2.30
Pr  0.0289  0.3116  0.9093  1 H 2.30
Pr  0.0907  0.6196  0.4023  1 H 2.30
Pr  0.0907  0.9711  0.6884  1 H 2.30
Pr  0.0977  0.7173  0.6884  1 H 2.30
Pr  0.0977  0.8804  0.4093  1 H 2.30
Pr  0.1196  0.0289  0.2173  1 H 2.30
Pr  0.1196  0.5907  0.9023  1 H 2.30
Pr  0.1884  0.2173  0.5977  1 H 2.30
Pr  0.1884  0.4711  0.5907  1 H 2.30
Pr  0.2173  0.1196  0.0289  1 H 2.30
Pr  0.2173  0.5977  0.1884  1 H 2.30
Pr  0.2827  0.3116  0.9023  1 H 2.30
Pr  0.2827  0.4711  0.3804  1 H 2.30
Pr  0.3116  0.9023  0.2827  1 H 2.30
Pr  0.3116  0.9093  0.0289  1 H 2.30
Pr  0.3804  0.2827  0.4711  1 H 2.30
Pr  0.3804  0.5977  0.9093  1 H 2.30
Pr  0.4023  0.0907  0.6196  1 H 2.30
Pr  0.4023  0.8116  0.7827  1 H 2.30
Pr  0.4093  0.0977  0.8804  1 H 2.30
Pr  0.4093  0.8116  0.5289  1 H 2.30
Pr  0.4711  0.3804  0.2827  1 H 2.30
Pr  0.4711  0.5907  0.1884  1 H 2.30
Pr  0.5289  0.4093  0.8116  1 H 2.30
Pr  0.5289  0.6196  0.7173  1 H 2.30
Pr  0.5907  0.1884  0.4711  1 H 2.30
Pr  0.5907  0.9023  0.1196  1 H 2.30
Pr  0.5977  0.1884  0.2173  1 H 2.30
Pr  0.5977  0.9093  0.3804  1 H 2.30
Pr  0.6196  0.4023  0.0907  1 H 2.30
Pr  0.6196  0.7173  0.5289  1 H 2.30
Pr  0.6884  0.0907  0.9711  1 H 2.30
Pr  0.6884  0.0977  0.7173  1 H 2.30
Pr  0.7173  0.5289  0.6196  1 H 2.30
Pr  0.7173  0.6884  0.0977  1 H 2.30
Pr  0.7827  0.4023  0.8116  1 H 2.30
Pr  0.7827  0.8804  0.9711  1 H 2.30
Pr  0.8116  0.5289  0.4093  1 H 2.30
Pr  0.8116  0.7827  0.4023  1 H 2.30
Pr  0.8804  0.4093  0.0977  1 H 2.30
Pr  0.8804  0.9711  0.7827  1 H 2.30
Pr  0.9023  0.1196  0.5907  1 H 2.30
Pr  0.9023  0.2827  0.3116  1 H 2.30
Pr  0.9093  0.0289  0.3116  1 H 2.30
Pr  0.9093  0.3804  0.5977  1 H 2.30
Pr  0.9711  0.6884  0.0907  1 H 2.30
Pr  0.9711  0.7827  0.8804  1 H 2.30
H  0.0000  0.0000  0.0000  6 Pr 2.67
H  0.0000  0.0000  0.5000  6 Pr 2.67
H  0.0000  0.5000  0.0000  6 Pr 2.67
H  0.0000  0.5000  0.5000  6 Pr 2.67
H  0.1250  0.7500  0.8750  4 Pr 2.30
H  0.1250  0.8750  0.2500  4 Pr 2.30
H  0.2500  0.1250  0.8750  4 Pr 2.30
H  0.2500  0.6250  0.3750  4 Pr 2.30
H  0.3750  0.2500  0.6250  4 Pr 2.30
H  0.3750  0.6250  0.7500  4 Pr 2.30
H  0.5000  0.0000  0.0000  6 Pr 2.67
H  0.5000  0.0000  0.5000  6 Pr 2.67
H  0.5000  0.5000  0.0000  6 Pr 2.67
H  0.5000  0.5000  0.5000  6 Pr 2.67
H  0.6250  0.3750  0.2500  4 Pr 2.30
H  0.6250  0.7500  0.3750  4 Pr 2.30
H  0.7500  0.3750  0.6250  4 Pr 2.30
H  0.7500  0.8750  0.1250  4 Pr 2.30
H  0.8750  0.1250  0.7500  4 Pr 2.30
H  0.8750  0.2500  0.1250  4 Pr 2.30
Rh  0.1250  0.2500  0.3750  8 Pr 3.02-3.09
Rh  0.1250  0.3750  0.7500  8 Pr 3.02-3.09
Rh  0.2500  0.3750  0.1250  8 Pr 3.02-3.09
Rh  0.2500  0.8750  0.6250  8 Pr 3.02-3.09
Rh  0.3750  0.1250  0.2500  8 Pr 3.02-3.09
Rh  0.3750  0.7500  0.1250  8 Pr 3.02-3.09
Rh  0.6250  0.2500  0.8750  8 Pr 3.02-3.09
Rh  0.6250  0.8750  0.7500  8 Pr 3.02-3.09
Rh  0.7500  0.1250  0.3750  8 Pr 3.02-3.09
Rh  0.7500  0.6250  0.8750  8 Pr 3.02-3.09
Rh  0.8750  0.6250  0.2500  8 Pr 3.02-3.09
Rh  0.8750  0.7500  0.6250  8 Pr 3.02-3.09

raw total energy: -412.59 eV/cell
theoretical density: 6.854 g cm⁻³
SG: No. 230

Below is a geometry-optimized PmNd2Ho5Er structure, with properties calculated at the PBE-GGA level.

a = 9.8987 Å, b = 9.8987 Å, c = 9.8987 Å
α = 127.92°, β = 127.92°, γ = 76.76°
Closest atoms and distances in Å follow each position.
Atoms (fractional coordinates):
Pm  0.2500  0.2500  0.0000  10 Ho 3.56-3.88
Pm  0.7500  0.7500  0.0000  10 Ho 3.56-3.88
Nd  0.1171  0.6171  0.7343  1 Nd 2.88, 2 Ho 3.02
Nd  0.3829  0.1171  0.5000  1 Nd 2.88, 2 Ho 3.02
Nd  0.6171  0.8829  0.5000  1 Nd 2.88, 2 Ho 3.02
Nd  0.8829  0.3829  0.2657  1 Nd 2.88, 2 Ho 3.02
Ho  0.0000  0.0000  0.0000  4 Nd 3.48, 8 Ho 3.78, 2 Pm 3.88
Ho  0.0723  0.1501  0.5000  1 Nd 3.02, 1 Er 3.12
Ho  0.1501  0.6501  0.0778  1 Nd 3.02, 1 Er 3.12
Ho  0.3499  0.4277  0.5000  1 Nd 3.02, 1 Er 3.12
Ho  0.4277  0.9277  0.0778  1 Nd 3.02, 1 Er 3.12
Ho  0.5000  0.5000  0.0000  4 Nd 3.48, 8 Ho 3.78, 2 Pm 3.88
Ho  0.5723  0.0723  0.9222  1 Nd 3.02, 1 Er 3.12
Ho  0.6501  0.5723  0.5000  1 Nd 3.02, 1 Er 3.12
Ho  0.8499  0.3499  0.9222  1 Nd 3.02, 1 Er 3.12
Ho  0.9277  0.8499  0.5000  1 Nd 3.02, 1 Er 3.12
Er  0.2500  0.7500  0.5000  4 Ho 3.12
Er  0.7500  0.2500  0.5000  4 Ho 3.12

raw total energy: -78.63 eV/cell
theoretical density: 8.076 g cm⁻³
energy relative to the elements: 0.2693 eV per atom
SG: No. 140

Below is a geometry-optimized NaGdZnPt structure, with properties calculated at the PBE-GGA level.

a = 4.9181 Å, b = 4.9181 Å, c = 4.9181 Å
α = 60.00°, β = 60.00°, γ = 60.00°
Closest atoms and distances in Å follow each position.
Atoms (fractional coordinates):
Na  0.0000  0.0000  0.0000  4 Pt 3.01, 4 Zn 3.01
Gd  0.5000  0.5000  0.5000  4 Pt 3.01, 4 Zn 3.01
Zn  0.7500  0.7500  0.7500  4 Gd 3.01, 4 Na 3.01
Pt  0.2500  0.2500  0.2500  4 Gd 3.01, 4 Na 3.01

raw total energy: -24.36 eV/cell
theoretical density: 8.700 g cm⁻³
energy relative to the elements: -0.4103 eV per atom
SG: No. 216

Below is a geometry-optimized Sr5GaI5 structure, with properties calculated at the PBE-GGA level.

a = 8.6648 Å, b = 8.6648 Å, c = 9.6823 Å
α = 107.36°, β = 107.36°, γ = 44.75°
Closest atoms and distances in Å follow each position.
Atoms (fractional coordinates):
Sr  0.0000  0.0000  0.0000  2 Ga 3.30, 2 I 3.68
Sr  0.3564  0.3564  0.6997  1 Ga 3.07, 2 I 3.41
Sr  0.3600  0.3600  0.1534  1 Ga 3.06, 3 I 3.36-3.38
Sr  0.6400  0.6400  0.8466  1 Ga 3.06, 3 I 3.36-3.38
Sr  0.6436  0.6436  0.3003  1 Ga 3.07, 2 I 3.41
Ga  0.5000  0.5000  0.0000  6 Sr 3.06-3.30
I  0.1784  0.1784  0.8379  5 Sr 3.36-3.68
I  0.2014  0.2014  0.3401  5 Sr 3.41-3.79
I  0.5000  0.5000  0.5000  4 Sr 3.38-3.45
I  0.7986  0.7986  0.6599  5 Sr 3.41-3.79
I  0.8216  0.8216  0.1621  5 Sr 3.36-3.68

raw total energy: -32.92 eV/cell
theoretical density: 3.916 g cm⁻³
energy relative to the elements, uncorrected: -1.249 eV/atom
SG: No. 12